Density functional theory data (PBE) for AsP2Ru after structural relaxation.

- N(E_F) (states/eV per atom) = 0.861
- uncorrected energy (eV per cell) = -23.060
- crystal system = orthorhombic
- E_form (kJ per mole of atoms) = 41
- calculated density (g cm⁻³) = 6.73

POSCAR file:
```
AsP2Ru
1.0
2.8000 -3.4387 0.0000
2.8000 3.4387 0.0000
0.0000 0.0000 3.0484
As P Ru
1 2 1
Cartesian
0.0000 0.0000 0.0000
1.4000 1.7194 1.5242
1.4000 -1.7194 1.5242
2.8000 0.0000 0.0000
```